Compound: Ce6Pt5Au
Source: Alexandria via LeMat-Bulk
Functional: PBE
Structure: relaxed

Output
Raw total energy ... -6.690 eV per atom
E_form ... -11.19 eV/f.u.
SG ... No. 2
DOS at the Fermi energy ... 2.428 states/eV/atom

a b c (Å): 7.7586 7.7716 5.3500
angles (deg): 110.92 76.45 112.14
Positions (direct):
1 Pt 0.0035 0.3005 0.6118
2 Pt 0.4407 0.1388 0.9206
3 Pt 0.5593 0.8612 0.0794
4 Ce 0.2638 0.4559 0.1139
5 Ce 0.7848 0.2923 0.1896
6 Au 0.0000 0.0000 0.0000
7 Ce 0.2152 0.7077 0.8104
8 Ce 0.2778 0.0785 0.4545
9 Pt 0.9965 0.6995 0.3882
10 Ce 0.7362 0.5441 0.8861
11 Ce 0.7222 0.9215 0.5455
12 Pt 0.5000 0.5000 0.5000